[1]
# Ac2HfSn

An optimized crystal structure of Ac2HfSn (PBE-GGA, Alexandria via LeMat-Bulk).

Lattice parameters (Å, degrees): 3.5340 3.5340 36.7776 90.00 90.00 120.00
Last column: nearest neighbours and their distance in Å.
Element x y z (fractional)
1 Ac 0.0000 0.0000 0.0886  1 Hf 3.26, 3 Sn 3.52, 6 Ac 3.53
2 Ac 0.0000 0.0000 0.9114  1 Hf 3.26, 3 Sn 3.52, 6 Ac 3.53
3 Ac 0.3333 0.6667 0.5781  1 Hf 3.26, 3 Sn 3.52, 6 Ac 3.53
4 Ac 0.3333 0.6667 0.7553  1 Hf 3.26, 3 Sn 3.52, 6 Ac 3.53
5 Ac 0.6667 0.3333 0.2447  1 Hf 3.26, 3 Sn 3.52, 6 Ac 3.53
6 Ac 0.6667 0.3333 0.4219  1 Hf 3.26, 3 Sn 3.52, 6 Ac 3.53
7 Hf 0.0000 0.0000 0.0000  2 Ac 3.26, 6 Hf 3.53
8 Hf 0.3333 0.6667 0.6667  2 Ac 3.26, 6 Hf 3.53
9 Hf 0.6667 0.3333 0.3333  2 Ac 3.26, 6 Hf 3.53
10 Sn 0.0000 0.0000 0.5000  6 Ac 3.52, 6 Sn 3.53
11 Sn 0.3333 0.6667 0.1667  6 Ac 3.52, 6 Sn 3.53
12 Sn 0.6667 0.3333 0.8333  6 Ac 3.52, 6 Sn 3.53

The space group is R-3m (166). The formation energy is 0.390 eV per atom. For the total energy, the calculation gives -5.15 eV/atom.

[2]
# SrAc2Hf

An optimized crystal structure of SrAc2Hf (PBE-GGA, Alexandria via LeMat-Bulk).

Lattice parameters (Å, degrees): 3.6426 3.6426 40.2946 90.00 90.00 120.00
Last column: nearest neighbours and their distance in Å.
Element x y z (fractional)
1 Sr 0.0000 0.0000 0.0000  6 Sr 3.64
2 Sr 0.3333 0.6667 0.6667  6 Sr 3.64
3 Sr 0.6667 0.3333 0.3333  6 Sr 3.64
4 Ac 0.0000 0.0000 0.4208  1 Hf 3.19
5 Ac 0.0000 0.0000 0.5792  1 Hf 3.19
6 Ac 0.3333 0.6667 0.0875  1 Hf 3.19
7 Ac 0.3333 0.6667 0.2458  1 Hf 3.19
8 Ac 0.6667 0.3333 0.7542  1 Hf 3.19
9 Ac 0.6667 0.3333 0.9125  1 Hf 3.19
10 Hf 0.0000 0.0000 0.5000  2 Ac 3.19
11 Hf 0.3333 0.6667 0.1667  2 Ac 3.19
12 Hf 0.6667 0.3333 0.8333  2 Ac 3.19

The space group is R-3m (166). The formation energy is 0.622 eV per atom. For the total energy, the calculation gives -4.34 eV/atom.

[3]
# AcTb2Hf

An optimized crystal structure of AcTb2Hf (PBE-GGA, Alexandria via LeMat-Bulk).

Lattice parameters (Å, degrees): 3.4756 3.4756 36.7965 90.00 90.00 120.00
Last column: nearest neighbours and their distance in Å.
Element x y z (fractional)
1 Ac 0.0000 0.0000 0.0000  6 Ac 3.48, 6 Tb 3.65
2 Ac 0.3333 0.6667 0.6667  6 Ac 3.48, 6 Tb 3.65
3 Ac 0.6667 0.3333 0.3333  6 Ac 3.48, 6 Tb 3.65
4 Tb 0.0000 0.0000 0.4163  1 Hf 3.08
5 Tb 0.0000 0.0000 0.5837  1 Hf 3.08
6 Tb 0.3333 0.6667 0.0830  1 Hf 3.08
7 Tb 0.3333 0.6667 0.2504  1 Hf 3.08
8 Tb 0.6667 0.3333 0.7496  1 Hf 3.08
9 Tb 0.6667 0.3333 0.9170  1 Hf 3.08
10 Hf 0.0000 0.0000 0.5000  2 Tb 3.08
11 Hf 0.3333 0.6667 0.1667  2 Tb 3.08
12 Hf 0.6667 0.3333 0.8333  2 Tb 3.08

The space group is R-3m (166). The formation energy is 0.501 eV per atom. For the total energy, the calculation gives -5.33 eV/atom.

Q: What is the total energy in the second record?
A: -4.34 eV/atom

Q: Among the records above, which one has the lowest total energy?
A: AcTb2Hf

Q: Which value of total energy does entry 1 give?
A: -5.15 eV/atom

Q: Look up the total energy of the third one.
A: -5.33 eV/atom